(1)
A relaxed structure of Sm5Tm4In. Source: the Alexandria database, functional PBE-GGA.

The value obtained for the energy of formation is 151 kJ/mol of formula units. The value obtained for the energy relative to the lowest polymorph listed for this composition is 225 meV/atom. As for the total energy: -85.301 eV/cell.

The structure belongs to space group I4mm (No. 107); the cell edges are 10.581, 10.581 and 5.862 Å and the angles 90.00°, 90.00° and 90.00°. The inequivalent atoms are Sm at (0.000, 0.000, 0.000), Sm at (0.187, 0.187, 0.718), Tm at (0.000, 0.319, 0.210) and In at (0.000, 0.000, 0.481).


(2)
A relaxed structure of RhSeN. Source: the Alexandria database, functional PBE-GGA.

The value obtained for the energy relative to the lowest polymorph listed for this composition is 0 meV/atom. The calculation puts the energy relative to the elements, uncorrected at 0.014 eV per atom. As for the total energy: -38.236 eV/cell.

The structure belongs to space group P1 (No. 1); the cell edges are 2.882, 4.551 and 11.198 Å and the angles 79.28°, 90.00° and 89.83°. The inequivalent atoms are Rh at (0.000, 0.000, 0.000), Rh at (0.001, 0.434, 0.145), Se at (0.000, 0.535, 0.924), Se at (0.001, 0.899, 0.221), N at (0.400, 0.412, 0.599) and N at (0.402, 0.239, 0.541).


(3)
A relaxed structure of Ac6Ni4Hg. Source: the Alexandria database, functional PBE-GGA.

The value obtained for the energy of formation is -263 kJ/mol of formula units. As for the total energy: -203.222 eV/cell.

The structure belongs to space group Cmcm (No. 63); the cell edges are 4.258, 14.438 and 22.095 Å and the angles 90.00°, 90.00° and 90.00°. The inequivalent atoms are Ac at (0.000, 0.000, 0.000), Ac at (0.000, 0.164, 0.250), Ac at (0.000, 0.269, 0.582), Ac at (0.000, 0.463, 0.155), Ni at (0.000, 0.097, 0.124), Ni at (0.000, 0.364, 0.040) and Hg at (0.000, 0.156, 0.750).


(4)
A relaxed structure of Sr2MgIn8. Source: the Alexandria database, functional PBE-GGA.

The value obtained for the energy of formation is -239 kJ/mol of formula units. As for the total energy: -29.345 eV/cell.

The structure belongs to space group P4/mmm (No. 123); the cell edges are 5.057, 5.057 and 12.288 Å and the angles 90.00°, 90.00° and 90.00°. The inequivalent atoms are Sr at (0.000, 0.000, 0.188), Mg at (0.000, 0.000, 0.500), In at (0.000, 0.500, 0.000), In at (0.000, 0.500, 0.371) and In at (0.500, 0.500, 0.199).


What did the fourth record say?
A relaxed structure of Sr2MgIn8. Source: the Alexandria database, functional PBE-GGA.

The value obtained for the energy of formation is -239 kJ/mol of formula units. As for the total energy: -29.345 eV/cell.

The structure belongs to space group P4/mmm (No. 123); the cell edges are 5.057, 5.057 and 12.288 Å and the angles 90.00°, 90.00° and 90.00°. The inequivalent atoms are Sr at (0.000, 0.000, 0.188), Mg at (0.000, 0.000, 0.500), In at (0.000, 0.500, 0.000), In at (0.000, 0.500, 0.371) and In at (0.500, 0.500, 0.199).


Question: What is the formula in the second record?
Answer: RhSeN


Copy entry 4 word for word.
A relaxed structure of Sr2MgIn8. Source: the Alexandria database, functional PBE-GGA.

The value obtained for the energy of formation is -239 kJ/mol of formula units. As for the total energy: -29.345 eV/cell.

The structure belongs to space group P4/mmm (No. 123); the cell edges are 5.057, 5.057 and 12.288 Å and the angles 90.00°, 90.00° and 90.00°. The inequivalent atoms are Sr at (0.000, 0.000, 0.188), Mg at (0.000, 0.000, 0.500), In at (0.000, 0.500, 0.000), In at (0.000, 0.500, 0.371) and In at (0.500, 0.500, 0.199).